No. 1
VASP calculation (PBE-GGA) on an optimized crystal structure of AsRh2Cl.

Structure (POSCAR):
```
AsRh2Cl
1.0
3.090 0.000 0.000
0.000 3.075 0.000
-0.018 0.000 7.006
As Rh Cl
1 2 1
direct
0.000 0.000 0.000
0.499 0.500 0.804
0.501 0.500 0.196
0.500 0.000 0.500
```

Calculated values
volume = 16.6 A^3/atom
symmetry = P2/m, No. 10
raw total energy = -5.424 eV/atom
formation energy without anion corrections = -0.50 eV/f.u.



No. 2
VASP calculation (PBE-GGA) on an optimized crystal structure of CsRe2Te.

Structure (POSCAR):
```
CsRe2Te
1.0
7.746 0.000 0.000
0.000 4.026 0.000
-1.355 0.000 8.458
Cs Re Te
2 4 2
direct
0.000 0.000 0.000
0.500 0.500 0.000
0.229 0.500 0.367
0.404 0.000 0.383
0.729 0.000 0.367
0.904 0.500 0.383
0.127 0.500 0.646
0.627 0.000 0.646
```

Calculated values
volume = 33.0 A^3/atom
symmetry = Cm, No. 8
raw total energy = -6.574 eV/atom
formation energy without anion corrections = 2.60 eV/f.u.



No. 3
VASP calculation (PBE-GGA) on an optimized crystal structure of Rb4DyNb3O12.

Structure (POSCAR):
```
Rb4DyNb3O12
1.0
-4.211 4.211 4.211
4.211 -4.211 4.211
4.211 4.211 -4.211
Rb Dy Nb O
4 1 3 12
direct
0.000 0.000 0.500
0.000 0.500 0.000
0.500 0.000 0.000
0.500 0.500 0.500
0.000 0.000 0.000
0.000 0.500 0.500
0.500 0.000 0.500
0.500 0.500 0.000
0.000 0.269 0.269
0.000 0.731 0.731
0.250 0.500 0.750
0.250 0.750 0.500
0.269 0.000 0.269
0.269 0.269 0.000
0.500 0.250 0.750
0.500 0.750 0.250
0.731 0.000 0.731
0.731 0.731 0.000
0.750 0.250 0.500
0.750 0.500 0.250
```

Calculated values
volume = 14.9 A^3/atom
symmetry = Im-3m, No. 229
raw total energy = -7.173 eV/atom
formation energy without anion corrections = -45.28 eV/f.u.



No. 4
VASP calculation (PBE-GGA) on an optimized crystal structure of SnHgPd3.

Structure (POSCAR):
```
SnHgPd3
1.0
4.949 0.000 0.000
0.000 4.949 0.000
0.000 0.000 4.949
Sn Hg Pd
1 1 3
direct
0.000 0.000 0.000
0.500 0.500 0.500
0.000 0.000 0.500
0.000 0.500 0.000
0.500 0.000 0.000
```

Calculated values
volume = 24.2 A^3/atom
ΔH_f (0 K) = 0.43 eV per atom
symmetry = Pm-3m, No. 221
raw total energy = -3.544 eV/atom



No. 5
VASP calculation (PBE-GGA) on an optimized crystal structure of La3Ge8Ir3.

Structure (POSCAR):
```
La3Ge8Ir3
1.0
-2.130 5.298 6.338
2.130 -5.298 6.338
2.130 5.298 -6.338
La Ge Ir
3 8 3
direct
0.000 0.000 0.000
0.316 0.316 0.000
0.684 0.684 0.000
0.025 0.656 0.369
0.178 0.882 0.296
0.287 0.656 0.631
0.414 0.118 0.296
0.586 0.882 0.704
0.713 0.344 0.369
0.822 0.118 0.704
0.975 0.344 0.631
0.293 0.500 0.793
0.500 0.000 0.500
0.707 0.500 0.207
```

Calculated values
volume = 20.4 A^3/atom
ΔH_f (0 K) = -0.50 eV per atom
symmetry = Immm, No. 71
raw total energy = -6.096 eV/atom



No. 6
VASP calculation (PBE-GGA) on an optimized crystal structure of NaY2Tm3Te6.

Structure (POSCAR):
```
NaY2Tm3Te6
1.0
9.521 -2.163 0.000
9.521 2.163 0.000
-2.083 0.000 8.518
Na Y Tm Te
1 2 3 6
direct
0.000 0.000 0.000
0.329 0.329 0.653
0.671 0.671 0.347
0.000 0.000 0.500
0.335 0.335 0.173
0.665 0.665 0.827
0.163 0.163 0.588
0.169 0.169 0.082
0.499 0.499 0.745
0.501 0.501 0.255
0.831 0.831 0.918
0.837 0.837 0.412
```

Calculated values
volume = 29.2 A^3/atom
symmetry = C2/m, No. 12
raw total energy = -5.141 eV/atom
formation energy without anion corrections = -15.18 eV/f.u.



No. 7
VASP calculation (PBE-GGA) on an optimized crystal structure of In2HgHPt.

Structure (POSCAR):
```
In2HgHPt
1.0
5.489 0.000 0.000
0.000 5.489 0.000
0.000 0.000 3.462
In Hg H Pt
2 1 1 1
direct
0.000 0.500 0.000
0.500 0.000 0.000
0.000 0.000 0.000
0.000 0.000 0.500
0.500 0.500 0.500
```

Calculated values
volume = 20.9 A^3/atom
symmetry = P4/mmm, No. 123
raw total energy = -2.610 eV/atom



No. 8
VASP calculation (PBE-GGA) on an optimized crystal structure of CaReTc2.

Structure (POSCAR):
```
CaReTc2
1.0
2.950 0.000 0.000
0.000 3.555 0.000
0.000 0.000 7.081
Ca Re Tc
1 1 2
direct
0.000 0.000 0.000
0.500 0.500 0.318
0.000 0.000 0.499
0.500 0.500 0.683
```

Calculated values
volume = 18.6 A^3/atom
ΔH_f (0 K) = 0.51 eV per atom
symmetry = Pmm2, No. 25
raw total energy = -8.284 eV/atom



No. 9
VASP calculation (PBE-GGA) on an optimized crystal structure of NbPd2Ru.

Structure (POSCAR):
```
NbPd2Ru
1.0
3.871 0.000 0.000
0.000 3.871 0.000
0.000 0.000 4.098
Nb Pd Ru
1 2 1
direct
0.000 0.000 0.000
0.000 0.500 0.500
0.500 0.000 0.500
0.500 0.500 0.000
```

Calculated values
volume = 15.4 A^3/atom
ΔH_f (0 K) = -0.28 eV per atom
symmetry = P4/mmm, No. 123
raw total energy = -7.716 eV/atom



No. 10
VASP calculation (PBE-GGA) on an optimized crystal structure of Rb4Mn3SnBr12.

Structure (POSCAR):
```
Rb4Mn3SnBr12
1.0
-5.511 5.511 5.511
5.511 -5.511 5.511
5.511 5.511 -5.511
Rb Mn Sn Br
4 3 1 12
direct
0.000 0.000 0.500
0.000 0.500 0.000
0.500 0.000 0.000
0.500 0.500 0.500
0.000 0.500 0.500
0.500 0.000 0.500
0.500 0.500 0.000
0.000 0.000 0.000
0.000 0.264 0.264
0.000 0.736 0.736
0.250 0.500 0.750
0.250 0.750 0.500
0.264 0.000 0.264
0.264 0.264 0.000
0.500 0.250 0.750
0.500 0.750 0.250
0.736 0.000 0.736
0.736 0.736 0.000
0.750 0.250 0.500
0.750 0.500 0.250
```

Calculated values
volume = 33.5 A^3/atom
symmetry = Im-3m, No. 229
raw total energy = -3.927 eV/atom
formation energy without anion corrections = -23.09 eV/f.u.



No. 11
VASP calculation (PBE-GGA) on an optimized crystal structure of Na3Tm2InSe6.

Structure (POSCAR):
```
Na3Tm2InSe6
1.0
3.528 -6.111 0.000
3.528 6.111 0.000
-2.350 0.000 7.043
Na Tm In Se
3 2 1 6
direct
0.000 0.000 0.000
0.335 0.665 0.000
0.665 0.335 0.000
0.167 0.833 0.500
0.833 0.167 0.500
0.500 0.500 0.500
0.095 0.425 0.274
0.245 0.245 0.725
0.425 0.095 0.274
0.575 0.905 0.726
0.755 0.755 0.275
0.905 0.575 0.726
```

Calculated values
volume = 25.3 A^3/atom
symmetry = C2/m, No. 12
raw total energy = -4.429 eV/atom
formation energy without anion corrections = -16.60 eV/f.u.



No. 12
VASP calculation (PBE-GGA) on an optimized crystal structure of Mg2Fe3.

Structure (POSCAR):
```
Mg2Fe3
1.0
2.814 0.000 0.000
-1.407 2.437 0.000
0.000 0.000 32.598
Mg Fe
6 9
direct
0.000 0.000 0.098
0.000 0.000 0.902
0.333 0.667 0.569
0.333 0.667 0.764
0.667 0.333 0.236
0.667 0.333 0.431
0.000 0.000 0.307
0.000 0.000 0.500
0.000 0.000 0.693
0.333 0.667 0.167
0.333 0.667 0.360
0.333 0.667 0.973
0.667 0.333 0.027
0.667 0.333 0.640
0.667 0.333 0.833
```

Calculated values
volume = 14.9 A^3/atom
ΔH_f (0 K) = 0.32 eV per atom
symmetry = R-3m, No. 166
raw total energy = -5.399 eV/atom



Question: Which value of raw total energy does entry 8 give?
Answer: -8.284 eV/atom



Question: Which value of volume does entry 5 give?
Answer: 20.4 A^3/atom